No. 1
Entry from Alexandria via LeMat-Bulk: Lu3In5S12 after structural relaxation (GGA-PBE).

Computed properties:
**Total DFT energy (no corrections)**: -4.8651 eV per atom
**E_form (uncorrected)**: -1026 meV/atom

```
Lu3In5S12
1.0
13.4910 0.0000 0.0000
-4.4970 12.7194 0.0000
-4.4970 -6.3597 11.0153
Lu In S
12 20 48
Cartesian
7.8697 3.9748 1.3769
7.8697 8.7446 1.3769
-1.1242 5.5647 6.8846
1.1242 -0.7950 4.1308
10.1182 0.0000 2.7538
1.1242 6.3597 2.7538
3.3727 0.0000 8.2615
-5.6212 6.3597 8.2615
3.3727 7.1547 6.8846
5.6212 0.7950 4.1308
-3.3727 -2.3849 9.6384
-3.3727 2.3849 9.6384
-1.1242 3.1799 2.7538
-2.2485 6.3597 0.0000
0.0000 0.0000 0.0000
3.3727 2.3849 1.3769
4.4970 -3.1799 5.5077
4.4970 6.3597 0.0000
-3.3727 7.1547 4.1308
5.6212 -3.9748 9.6384
5.6212 5.5647 4.1308
1.1242 -3.1799 8.2615
3.3727 9.5396 2.7538
2.2485 3.1799 5.5077
6.7455 0.0000 0.0000
-2.2485 -3.1799 5.5077
-1.1242 0.7950 6.8846
-1.1242 10.3345 1.3769
-4.4970 3.1799 5.5077
7.8697 -0.7950 6.8846
1.1242 3.9748 9.6384
5.6212 3.1799 8.2615
8.9040 1.3949 0.5146
0.0900 4.3230 4.5569
9.9509 2.8864 3.0853
5.7886 1.9511 1.4653
1.6529 4.8755 7.4155
9.4453 6.3560 1.9078
-0.9569 7.2950 4.5506
-3.5401 10.7683 1.4653
0.5956 7.8439 7.4155
6.2942 6.3634 1.9078
6.8355 3.4316 4.0424
6.8355 11.3245 0.5146
-3.9014 5.6799 6.0223
2.6998 4.7093 0.9571
-4.5870 9.2878 4.0424
2.3385 -2.0368 6.4584
-0.5956 0.8044 2.4224
2.6998 8.0137 0.9507
5.7886 9.8330 3.0853
-0.4513 4.7057 0.9507
-2.8441 7.1641 8.5930
3.2054 5.4244 4.5506
6.1499 7.0395 6.0223
4.9483 -1.6504 10.0583
1.2916 0.9353 6.4648
-1.6529 -0.6798 4.9931
-0.4513 8.0101 0.9571
-1.2916 -3.4733 7.9301
7.3411 -0.8044 2.4224
4.9483 1.6540 10.0646
1.7972 -1.6540 10.0646
2.1585 8.3965 4.5569
5.0926 5.5553 8.5930
9.0840 -2.9280 6.9730
8.3984 0.6798 4.9931
-2.3385 -4.9648 10.5007
1.7972 1.6504 10.0583
3.9014 -1.4842 3.5999
-1.7972 -0.0037 9.1076
-2.3385 2.9281 6.9730
8.0371 -4.4086 9.5500
5.4539 -0.9353 6.4648
-1.2916 4.4086 9.5500
-4.9483 0.0037 9.1076
2.8441 1.4842 3.5999
-5.4539 3.4733 7.9301
4.4070 2.0368 6.4584
-4.4070 4.9648 10.5007
```

***

No. 2
Entry from Alexandria via LeMat-Bulk: Y2Er12Tm7 after structural relaxation (GGA-PBE).

Computed properties:
**Total DFT energy (no corrections)**: -4.6766 eV per atom
**Calculated formation energy**: 0.04 eV/atom

```
Y2Er12Tm7
1.0
-2.2598 -0.0818 2.7074
-7.7654 -10.2458 -6.7909
10.8293 -3.8062 8.9239
Y Er Tm
2 12 7
Cartesian
-1.1299 -0.0409 1.3537
-1.5672 -8.0993 -1.5527
-1.5036 -11.2238 0.7041
-5.3254 -7.8927 -2.3852
-1.2623 -5.3040 1.0842
5.8351 -5.9759 6.9880
2.3850 -8.6349 4.0280
2.2833 -3.3700 4.1021
5.8415 -3.0939 4.7823
5.9480 -8.7951 4.6990
2.1036 -5.9691 1.5755
1.9002 -10.9217 1.2562
-5.1205 -10.5511 -4.5926
-1.4812 -2.8250 -1.3216
4.6310 -5.9527 3.6856
8.4521 -3.5920 6.9462
4.3551 -11.4818 3.2883
1.0859 -2.7844 0.8223
-0.3546 -8.3657 1.7494
-3.9792 -10.6654 -1.3453
-3.7575 -5.3894 -1.0010
```

***

No. 3
Entry from Alexandria via LeMat-Bulk: SmY2ErSc after structural relaxation (GGA-PBE).

Computed properties:
**Total DFT energy (no corrections)**: -5.3637 eV per atom
**Calculated formation energy**: 0.34 eV/atom

```
SmY2ErSc
1.0
-1.1492 4.6132 -5.3087
-7.8233 0.7122 2.3124
5.2979 3.8834 2.2278
Sm Y Er Sc
2 4 2 2
Cartesian
-3.5568 3.4732 1.3965
-0.1178 5.7357 -2.1650
-2.9352 2.5215 -1.9566
-5.4626 0.4973 1.6147
-6.0372 2.8039 -1.0397
-2.3606 0.2149 0.6978
-4.1280 5.7902 -1.2495
0.4534 3.4186 0.4810
-2.8227 5.7182 3.1886
-0.8519 3.4906 -3.9570
```

***

No. 4
Entry from Alexandria via LeMat-Bulk: Na10B17C3 after structural relaxation (GGA-PBE).

Computed properties:
**Total DFT energy (no corrections)**: -4.9369 eV per atom
**E above lowest polymorph**: 4.2 meV per atom
**Calculated formation energy**: 0.21 eV/atom

```
Na10B17C3
1.0
-7.7547 -4.7796 -1.3442
-6.1906 -5.9011 -3.4118
8.1424 -5.9511 9.3879
Na B C
10 17 3
Cartesian
-13.9213 -10.6971 -4.7290
4.5312 -7.4888 7.4901
0.4601 -4.5040 2.7912
-3.1363 -6.0604 0.9148
0.9358 -9.0294 5.6059
-2.6655 -10.5645 3.7141
-6.7253 -7.6085 -0.9605
-10.3349 -9.1441 -2.8583
-6.2884 -12.0983 1.8055
4.0605 -2.9833 4.6901
-4.3168 -12.7902 3.6723
-4.1650 -14.2053 4.5547
-0.6877 -11.4838 5.7091
-8.2358 -11.2834 -0.1099
-11.9733 -11.5951 -2.7682
2.1299 -2.4270 2.9278
-8.3759 -9.8422 -0.9976
6.1838 -5.2489 7.5254
2.5510 -6.5065 5.4593
-7.9144 -14.5258 1.8921
-1.4898 -3.6403 0.8477
2.9078 -9.8399 7.5374
-5.0891 -5.3386 -0.9540
-1.6477 -2.1720 -0.0683
-1.0383 -8.2627 3.6965
-4.6344 -9.8282 1.8252
-1.1811 -6.8453 2.8197
-8.6919 -6.8490 -2.8603
2.4113 -5.1861 4.6373
-4.7723 -8.4523 0.9747
```

***

No. 5
Entry from Alexandria via LeMat-Bulk: BaSn4Hg8 after structural relaxation (GGA-PBE).

Computed properties:
**Total DFT energy (no corrections)**: -1.6510 eV per atom
**Calculated formation energy**: -0.09 eV/atom

```
BaSn4Hg8
1.0
-2.2853 -4.1430 4.5946
5.0596 -6.1681 1.6883
2.0938 2.0383 7.6129
Ba Sn Hg
1 4 8
Cartesian
0.0000 0.0000 0.0000
1.0469 1.0192 3.8065
-0.0957 -1.0523 6.1038
2.5298 -3.0841 0.8441
1.3871 -5.1556 3.1415
3.1420 -0.8620 5.5191
4.0114 -3.2679 3.7822
3.8176 -4.1345 7.6378
1.0505 -4.1383 6.2580
3.2859 -6.4935 5.2462
1.5822 -1.7793 8.6497
0.8656 -2.0687 3.2987
4.0025 -6.2041 10.5971
```

***

No. 6
Entry from Alexandria via LeMat-Bulk: PmErTmHg after structural relaxation (GGA-PBE).

Computed properties:
**Total DFT energy (no corrections)**: -3.7581 eV per atom
**E above lowest polymorph**: 0.0 meV per atom
**Calculated formation energy**: -0.24 eV/atom

```
PmErTmHg
1.0
3.5966 0.0000 0.0000
0.0000 3.5966 0.0000
0.0000 0.0000 8.8939
Pm Er Tm Hg
1 1 1 1
Cartesian
0.0000 0.0000 0.6246
1.7983 1.7983 3.1448
1.7983 1.7983 7.0080
0.0000 0.0000 5.0955
```

***

No. 7
Entry from Alexandria via LeMat-Bulk: CeTmTe3 after structural relaxation (GGA-PBE).

Computed properties:
**Total DFT energy (no corrections)**: -5.2167 eV per atom
**E above lowest polymorph**: 98.1 meV per atom
**E_form (uncorrected)**: -1251 meV/atom

```
CeTmTe3
1.0
-0.3873 -2.8399 9.1709
3.2071 -6.8239 -6.6357
8.0128 2.6414 1.1563
Ce Tm Te
4 4 12
Cartesian
4.4055 -6.8301 -1.5611
6.4270 -0.1923 5.2527
6.0295 1.0327 0.5819
4.8031 -8.0551 3.1096
6.9250 -4.7280 1.4339
3.9076 -2.2944 2.2577
1.5635 -4.4232 6.5328
9.2691 -2.5992 -2.8413
2.9133 -9.0062 0.6963
7.9193 1.9838 2.9952
3.7988 -0.7306 7.0140
7.0338 -6.2918 -3.3224
9.1790 -3.9612 -0.3092
1.6536 -3.0612 4.0008
3.6902 -1.0338 -0.3187
7.1424 -5.9886 4.0103
3.7902 -3.8590 -3.3919
7.0424 -3.1634 7.0835
6.8217 -1.8800 2.4382
4.0109 -5.1424 1.2534
```

***

No. 8
Entry from Alexandria via LeMat-Bulk: Ac2ZnAuN after structural relaxation (GGA-PBE).

Computed properties:
**Total DFT energy (no corrections)**: -4.9397 eV per atom
**E_form (uncorrected)**: -721 meV/atom

```
Ac2ZnAuN
1.0
4.1323 0.0000 0.0000
0.0000 7.4321 0.2736
0.0000 -2.8632 8.0080
Ac Zn Au N
4 2 2 2
Cartesian
3.0993 4.2465 5.0535
3.0993 5.7967 0.6566
1.0331 0.3224 3.2281
1.0331 -1.2279 7.6250
1.0331 1.9553 6.2474
3.0993 2.6136 2.0342
1.0331 4.1842 2.5616
3.0993 0.3847 5.7200
1.0331 3.9367 6.8343
3.0993 0.6322 1.4473
```

***

No. 9
Entry from Alexandria via LeMat-Bulk: Ce5Sc3Sb8 after structural relaxation (GGA-PBE).

Computed properties:
**Total DFT energy (no corrections)**: -6.0863 eV per atom
**E_form (uncorrected)**: -984 meV/atom

```
Ce5Sc3Sb8
1.0
7.6070 0.0000 4.3573
2.5556 7.1649 4.3573
0.0459 0.0324 8.7386
Ce Sc Sb
5 3 8
Cartesian
3.8035 0.0000 2.1787
5.0813 3.5824 4.3573
0.0000 0.0000 0.0000
1.2778 3.5824 2.1787
5.1042 3.5986 8.7266
3.8265 0.0162 6.5480
0.0230 0.0162 4.3693
1.3007 3.5986 6.5480
2.5745 1.8151 8.6031
3.8901 5.5036 10.8462
6.4906 1.8151 10.8462
7.7254 5.4467 12.9693
7.6340 5.3822 8.8502
6.3184 1.6936 6.6070
3.7178 5.3822 6.6070
2.4830 1.7506 4.4839
```

***

No. 10
Entry from Alexandria via LeMat-Bulk: Mn3AlBr after structural relaxation (GGA-PBE).

Computed properties:
**Total DFT energy (no corrections)**: -5.7006 eV per atom
**E above lowest polymorph**: 0.0 meV per atom
**E_form (uncorrected)**: 884 meV/atom

```
Mn3AlBr
1.0
4.9072 0.0000 0.0000
0.0000 4.9072 0.0000
0.0000 0.0000 4.9072
Mn Al Br
3 1 1
Cartesian
0.0000 2.4536 0.0000
0.0000 0.0000 2.4536
2.4536 0.0000 0.0000
0.0000 0.0000 0.0000
2.4536 2.4536 2.4536
```

***

No. 11
Entry from Alexandria via LeMat-Bulk: Ho3UP4 after structural relaxation (GGA-PBE).

Computed properties:
**Total DFT energy (no corrections)**: -7.2855 eV per atom
**Calculated formation energy**: -1.45 eV/atom

```
Ho3UP4
1.0
-1.7917 2.2993 -2.6784
5.0689 -1.2516 -4.4652
-4.9185 -4.7337 -0.7734
P U Ho
4 1 3
Cartesian
0.0370 -1.4731 -1.2894
1.7138 -0.9594 -4.8953
0.1133 -4.5121 -3.9492
-3.3551 -2.7266 -3.0217
-0.8958 1.1496 -1.3392
-2.4593 -2.3668 -0.3867
-0.8207 -1.8430 -3.9585
2.5344 -0.6258 -2.2326
```

***

No. 12
Entry from Alexandria via LeMat-Bulk: TlSiHSe after structural relaxation (GGA-PBE).

Computed properties:
**Total DFT energy (no corrections)**: -3.3943 eV per atom
**E above lowest polymorph**: 310.0 meV per atom

```
TlSiHSe
1.0
3.5753 -0.1240 0.0572
-1.6368 4.5878 0.1745
-0.1571 -0.6804 5.6884
Tl Si H Se
1 1 1 1
Cartesian
-1.0802 3.1118 4.1189
2.3968 0.4378 5.3800
0.6866 0.2898 2.2274
0.7532 1.5933 1.3727
```

***

No. 13
Entry from Alexandria via LeMat-Bulk: MnVZn2Rh after structural relaxation (GGA-PBE).

Computed properties:
**Total DFT energy (no corrections)**: -4.5732 eV per atom
**Calculated formation energy**: 1.06 eV/atom

```
MnVZn2Rh
1.0
-3.9342 -0.0542 2.2119
2.0745 -0.9376 3.6669
0.4344 4.4055 0.8807
Zn Mn Rh V
2 1 1 1
Cartesian
0.2172 2.2028 0.4404
-1.9671 -0.0271 1.1059
0.0000 0.0000 0.0000
1.0372 -0.4688 1.8334
-0.7126 1.7069 3.3797
```

***

No. 14
Entry from Alexandria via LeMat-Bulk: CePr5Zn6 after structural relaxation (GGA-PBE).

Computed properties:
**Total DFT energy (no corrections)**: -3.3987 eV per atom
**Calculated formation energy**: -0.28 eV/atom

```
CePr5Zn6
1.0
5.0299 -0.0066 -1.4114
-3.7667 7.3223 -3.7757
-0.1938 -1.0431 8.9963
Pr Zn Ce
5 6 1
Cartesian
1.7339 0.3287 6.1911
-1.3845 1.7449 4.7397
0.5347 3.1363 1.9046
-2.5759 4.5343 0.4809
-0.6644 5.9438 -2.3819
0.8567 0.1728 3.0611
1.3960 3.3295 4.9778
2.7794 1.5527 0.2395
-1.7099 4.7199 3.5698
-0.3265 2.9431 -1.1686
0.2127 6.0998 0.7482
0.0000 0.0000 0.0000
```

***

No. 15
Entry from Alexandria via LeMat-Bulk: CeSmEuLu after structural relaxation (GGA-PBE).

Computed properties:
**Total DFT energy (no corrections)**: -6.1354 eV per atom
**Calculated formation energy**: 0.23 eV/atom

```
CeSmEuLu
1.0
-1.5044 -2.8094 -4.7909
-4.7434 -3.2567 -0.0562
-4.6132 1.6877 -2.9964
Eu Lu Sm Ce
1 1 1 1
Cartesian
-8.1457 -3.2838 -5.8826
-5.4305 -2.1892 -3.9217
0.0000 0.0000 0.0000
-2.7152 -1.0946 -1.9609
```

***

No. 16
Entry from Alexandria via LeMat-Bulk: Y2SiW after structural relaxation (GGA-PBE).

Computed properties:
**Total DFT energy (no corrections)**: -7.7074 eV per atom
**E_form (uncorrected)**: 119 meV/atom

```
Y2SiW
1.0
-0.1864 -3.5946 -0.6218
3.6202 -0.1051 -0.4754
0.7964 -1.1337 6.3151
Si W Y
1 1 2
Cartesian
1.9160 -2.1333 1.0302
2.3142 -2.7002 4.1877
0.0040 -0.0056 0.0314
0.3943 -0.5612 3.1262
```

***

No. 17
Entry from Alexandria via LeMat-Bulk: PmPr2Dy2Tm2 after structural relaxation (GGA-PBE).

Computed properties:
**Total DFT energy (no corrections)**: -4.4891 eV per atom
**Calculated formation energy**: 0.15 eV/atom

```
PmPr2Dy2Tm2
1.0
-1.4200 3.2004 -0.0313
-7.4245 -5.1906 1.9296
5.1522 2.3480 6.3544
Pm Pr Dy Tm
1 2 2 2
Cartesian
2.5761 1.1740 3.1772
1.5849 2.6805 6.3417
-5.2772 -2.3227 1.9110
-3.0519 -1.2906 6.4972
-0.6404 1.6484 1.7554
-3.4515 0.4181 3.4913
-0.2408 -0.0603 4.7614
```

***

No. 18
Entry from Alexandria via LeMat-Bulk: KCr3 after structural relaxation (GGA-PBE).

Computed properties:
**Total DFT energy (no corrections)**: -6.4677 eV per atom
**E above lowest polymorph**: 230.2 meV per atom
**Calculated formation energy**: 1.02 eV/atom

```
KCr3
1.0
-7.8769 -4.7700 -3.5205
-7.8859 -5.8697 -0.7419
-9.2121 -3.2545 -1.3180
Cr K
3 1
Cartesian
-19.3082 -10.7416 -4.3142
-12.4874 -6.9471 -2.7902
-5.6667 -3.1525 -1.2662
0.0000 0.0000 0.0000
```

***

No. 19
Entry from Alexandria via LeMat-Bulk: ReWSe2N after structural relaxation (GGA-PBE).

Computed properties:
**Total DFT energy (no corrections)**: -7.0603 eV per atom
**E above lowest polymorph**: 29.8 meV per atom
**E_form (uncorrected)**: 1079 meV/atom

```
ReWSe2N
1.0
-3.2963 3.8144 -0.4069
-3.2122 -2.4515 3.0419
1.5669 1.6745 3.0041
Re Se W N
1 2 1 1
Cartesian
-2.4708 1.5187 2.8195
-1.6061 -1.2257 1.5209
-1.6482 1.9072 -0.2034
0.0000 0.0000 0.0000
0.7834 0.8372 1.5020
```